No. 1
First-principles (PBE) data for a relaxed ScTlRu2 crystal, as listed in Alexandria via LeMat-Bulk.

POSCAR file:
```
ScTlRu2
1.0
1.552 0.896 8.575
-1.552 0.896 8.575
0.000 -1.792 8.575
Sc Tl Ru
1 1 2
Direct
0.000 0.000 0.000
0.500 0.500 0.500
0.253 0.253 0.253
0.747 0.747 0.747
```

Calculated values
Crystal system: trigonal
Size of the total moment: 0.00 μB/cell
Space group: R-3m
Calculated total energy: -6.5667 eV per atom

No. 2
First-principles (PBE) data for a relaxed In2FeCuHg crystal, as listed in Alexandria via LeMat-Bulk.

POSCAR file:
```
In2FeCuHg
1.0
4.970 0.000 0.000
0.000 4.970 0.000
0.000 0.000 5.035
In Fe Cu Hg
2 1 1 1
Direct
0.000 0.500 0.000
0.500 0.000 0.000
0.000 0.000 0.000
0.500 0.500 0.500
0.000 0.000 0.500
```

Calculated values
Crystal system: tetragonal
Size of the total moment: 1.70 μB/cell
Space group: P4/mmm
Calculated total energy: -3.0480 eV per atom

No. 3
First-principles (PBE) data for a relaxed KCu3Cl6 crystal, as listed in Alexandria via LeMat-Bulk.

POSCAR file:
```
KCu3Cl6
1.0
4.261 0.000 0.000
-0.027 7.345 0.000
-0.420 -3.661 7.822
K Cu Cl
1 3 6
Direct
0.000 0.000 0.000
0.500 0.000 0.500
0.500 0.500 0.000
0.500 0.500 0.500
0.184 0.232 0.464
0.492 0.630 0.802
0.497 0.173 0.802
0.503 0.827 0.198
0.508 0.370 0.198
0.816 0.768 0.536
```

Calculated values
Crystal system: triclinic
Size of the total moment: 0.01 μB/cell
Space group: P-1
Calculated total energy: -3.2307 eV per atom
ΔE_f (raw): -0.78 eV/atom
Energy above the lowest structure with this stoichiometry: 0.0 meV per atom

No. 4
First-principles (PBE) data for a relaxed ZrTi2CuO crystal, as listed in Alexandria via LeMat-Bulk.

POSCAR file:
```
ZrTi2CuO
1.0
4.070 0.000 0.000
0.000 4.070 0.000
0.000 0.000 4.449
Zr Ti Cu O
1 2 1 1
Direct
0.000 0.000 0.000
0.000 0.500 0.500
0.500 0.000 0.500
0.500 0.500 0.000
0.000 0.000 0.500
```

Calculated values
Crystal system: tetragonal
Size of the total moment: 0.00 μB/cell
Space group: P4/mmm
Calculated total energy: -7.7344 eV per atom
ΔE_f (raw): -1.06 eV/atom

No. 5
First-principles (PBE) data for a relaxed LiLa2TmSe5 crystal, as listed in Alexandria via LeMat-Bulk.

POSCAR file:
```
LiLa2TmSe5
1.0
2.096 -8.683 0.000
2.096 8.683 0.000
0.000 0.000 12.512
Li La Tm Se
2 4 2 10
Direct
0.017 0.983 0.500
0.983 0.017 0.000
0.374 0.626 0.320
0.392 0.608 0.707
0.608 0.392 0.207
0.626 0.374 0.820
0.302 0.698 0.025
0.698 0.302 0.525
0.001 0.999 0.803
0.139 0.861 0.020
0.192 0.808 0.371
0.214 0.786 0.680
0.452 0.548 0.089
0.548 0.452 0.589
0.786 0.214 0.180
0.808 0.192 0.871
0.861 0.139 0.520
0.999 0.001 0.303
```

Calculated values
Crystal system: orthorhombic
Size of the total moment: 0.00 μB/cell
Space group: Cmc2_1
Calculated total energy: -5.5905 eV per atom
ΔE_f (raw): -1.85 eV/atom

No. 6
First-principles (PBE) data for a relaxed Na2CaZnAs2 crystal, as listed in Alexandria via LeMat-Bulk.

POSCAR file:
```
Na2CaZnAs2
1.0
4.336 0.000 0.000
0.000 8.482 0.000
0.000 0.000 7.357
Na Ca Zn As
4 2 2 4
Direct
0.000 0.085 0.000
0.000 0.915 0.500
0.500 0.163 0.325
0.500 0.837 0.825
0.500 0.447 0.966
0.500 0.553 0.466
0.000 0.317 0.624
0.000 0.683 0.124
0.000 0.386 0.254
0.000 0.614 0.754
0.500 0.172 0.716
0.500 0.828 0.216
```

Calculated values
Crystal system: orthorhombic
Size of the total moment: 0.00 μB/cell
Space group: Pmc2_1
Calculated total energy: -3.2190 eV per atom